# Ca3SnAs3 | Alexandria | PBE | relaxed
# Mass density, g/cm³: 3.87
# Formation enthalpy at 0 K, eV/atom: -0.8108
# Final energy, eV per atom: -4.233
# Size of the total moment, μB/cell: 0.00
data_Ca3SnAs3
_chemical_formula_sum 'Ca12 Sn4 As12'
_symmetry_space_group_name_H-M 'P 1'
_symmetry_Int_Tables_number 1
_symmetry_space_group_name_Hall 'P 1'
_cell_length_a 7.351
_cell_length_b 9.844
_cell_length_c 11.859
_cell_angle_alpha 90.00
_cell_angle_beta 90.00
_cell_angle_gamma 111.92
loop_
_atom_site_label
_atom_site_type_symbol
_atom_site_fract_x
_atom_site_fract_y
_atom_site_fract_z
_atom_site_occupancy
Sn1 Sn 0.905 0.811 0.000 1
Sn2 Sn 0.405 0.811 0.500 1
Ca1 Ca 0.149 0.000 0.642 1
As1 As 0.419 0.331 0.127 1
As2 As 0.588 0.669 0.373 1
Ca2 Ca 0.479 0.646 0.131 1
Ca3 Ca 0.649 0.000 0.858 1
Ca4 Ca 0.833 0.354 0.131 1
As3 As 0.919 0.331 0.373 1
As4 As 0.581 0.669 0.873 1
Sn3 Sn 0.595 0.189 0.500 1
Ca5 Ca 0.351 0.000 0.142 1
As5 As 0.744 0.000 0.613 1
As6 As 0.412 0.331 0.627 1
Ca6 Ca 0.851 0.000 0.358 1
Ca7 Ca 0.167 0.646 0.869 1
As7 As 0.244 0.000 0.887 1
As8 As 0.256 0.000 0.387 1
Sn4 Sn 0.095 0.189 0.000 1
As9 As 0.912 0.331 0.873 1
As10 As 0.081 0.669 0.627 1
Ca8 Ca 0.521 0.354 0.869 1
Ca9 Ca 0.333 0.354 0.369 1
As11 As 0.088 0.669 0.127 1
Ca10 Ca 0.979 0.646 0.369 1
Ca11 Ca 0.021 0.354 0.631 1
As12 As 0.756 0.000 0.113 1
Ca12 Ca 0.667 0.646 0.631 1